1.
A plane-wave DFT calculation with PBE was carried out for a relaxed TbZr2Rh crystal.

Unit cell a=3.3649 b=3.3649 c=9.6235 alpha=79.93 beta=79.93 gamma=60.00
With the nearest neighbours (Å) after each atom.
Element x y z (fractional)
Rh  0.0000  0.0000  0.0000  6 Zr 2.72
Zr  0.7341  0.7341  0.7977  3 Rh 2.72
Zr  0.2659  0.2659  0.2023  3 Rh 2.72
Tb  0.5000  0.5000  0.5000  6 Tb 3.36, 6 Zr 3.41

Results
Its density is 7982 kg/m3. The energy relative to the lowest polymorph listed for this composition comes out at 0.1372 eV per atom. The value obtained for the electronic total energy is -7.413 eV per atom.

2.
A plane-wave DFT calculation with PBE was carried out for a relaxed Pm6PrSm2 crystal.

Unit cell a=3.6567 b=8.9594 c=13.1445 alpha=132.72 beta=81.91 gamma=90.15
With the nearest neighbours (Å) after each atom.
Element x y z (fractional)
Pm  0.7778  0.1098  0.4439  10 Pm 3.64-3.67, 2 Sm 3.65
Pm  0.8893  0.5562  0.2223  4 Sm 3.63-3.65, 7 Pm 3.65-3.66, 1 Pr 3.67
Pm  0.3330  0.3346  0.3344  9 Pm 3.63-3.67, 2 Pr 3.66, 1 Sm 3.68
Pm  0.1107  0.4438  0.7777  4 Sm 3.63-3.65, 7 Pm 3.65-3.66, 1 Pr 3.67
Pm  0.6670  0.6654  0.6656  9 Pm 3.63-3.67, 2 Pr 3.66, 1 Sm 3.68
Pm  0.2222  0.8902  0.5561  10 Pm 3.64-3.67, 2 Sm 3.65
Sm  0.4440  0.7765  0.1111  7 Pm 3.63-3.68, 3 Sm 3.65-3.66, 2 Pr 3.66
Sm  0.5560  0.2235  0.8889  7 Pm 3.63-3.68, 3 Sm 3.65-3.66, 2 Pr 3.66
Pr  0.0000  0.0000  0.0000  2 Pr 3.66, 4 Sm 3.66, 6 Pm 3.66-3.67

Results
Its density is 7011 kg/m3. The energy relative to the lowest polymorph listed for this composition comes out at 0.0000 eV per atom. The value obtained for the electronic total energy is -4.732 eV per atom.

3.
A plane-wave DFT calculation with PBE was carried out for a relaxed Y2SiBr crystal.

Unit cell a=5.9861 b=5.9861 c=4.7329 alpha=90.01 beta=90.01 gamma=34.90
With the nearest neighbours (Å) after each atom.
Element x y z (fractional)
Y  0.0008  0.0008  0.8748  4 Br 2.97, 3 Si 3.03-3.23
Y  0.2596  0.2596  0.3753  1 Br 2.79, 4 Si 2.98
Si  0.7354  0.7354  0.8752  7 Y 2.98-3.23
Br  0.5042  0.5042  0.3747  5 Y 2.79-2.97

Results
Its density is 4891 kg/m3. The energy relative to the lowest polymorph listed for this composition comes out at 0.2718 eV per atom. The value obtained for the electronic total energy is -5.774 eV per atom. The uncorrected formation energy is -0.77 eV per atom.

4.
A plane-wave DFT calculation with PBE was carried out for a relaxed Tb4Tm3In4 crystal.

Unit cell a=5.1990 b=3.4992 c=17.6006 alpha=95.70 beta=98.49 gamma=90.00
With the nearest neighbours (Å) after each atom.
Element x y z (fractional)
In  0.1819  0.6819  0.3639  5 Tb 3.09-3.41, 4 Tm 3.43
In  0.4549  0.4549  0.9098  2 Tb 3.08, 1 In 3.12
In  0.8181  0.3181  0.6361  5 Tb 3.09-3.41, 4 Tm 3.43
In  0.5451  0.5451  0.0902  2 Tb 3.08, 1 In 3.12
Tm  0.3584  0.8584  0.7168  6 In 3.43-3.77, 2 Tm 3.50, 6 Tb 3.56-3.64
Tm  0.6416  0.1416  0.2832  6 In 3.43-3.77, 2 Tm 3.50, 6 Tb 3.56-3.64
Tm  0.0000  0.0000  0.0000  2 Tm 3.50, 8 In 3.50, 4 Tb 3.66
Tb  0.7337  0.7337  0.4675  4 In 3.16-3.41, 6 Tb 3.33-3.50
Tb  0.9073  0.4073  0.8145  3 In 3.08-3.09
Tb  0.0927  0.5927  0.1855  3 In 3.08-3.09
Tb  0.2663  0.2663  0.5325  4 In 3.16-3.41, 6 Tb 3.33-3.50

Results
Its density is 8442 kg/m3. The value obtained for the electronic total energy is -4.079 eV per atom.

5.
A plane-wave DFT calculation with PBE was carried out for a relaxed Zr6Bi2P crystal.

Unit cell a=3.8677 b=7.7479 c=7.7481 alpha=120.00 beta=90.00 gamma=90.00
With the nearest neighbours (Å) after each atom.
Element x y z (fractional)
Bi  0.0000  0.6667  0.3334  9 Zr 3.02-3.12
Bi  0.0000  0.3333  0.6666  9 Zr 3.02-3.12
Zr  0.0000  0.7624  0.7624  2 P 2.67
Zr  0.5000  0.0000  0.6269  1 P 2.89, 4 Bi 3.12, 4 Zr 3.19
Zr  0.5000  0.6269  0.0000  1 P 2.89, 4 Bi 3.12, 4 Zr 3.19
Zr  0.5000  0.3731  0.3731  1 P 2.89, 4 Bi 3.12, 4 Zr 3.19
Zr  0.0000  0.0000  0.2376  2 P 2.67
Zr  0.0000  0.2377  0.0000  2 P 2.67
P  0.5000  0.0001  0.0000  9 Zr 2.67-2.89

Results
Its density is 8227 kg/m3. The value obtained for the electronic total energy is -7.763 eV per atom.

6.
A plane-wave DFT calculation with PBE was carried out for a relaxed DyPuIn2O8 crystal.

Unit cell a=5.0432 b=5.0412 c=6.7540 alpha=90.01 beta=90.00 gamma=91.06
With the nearest neighbours (Å) after each atom.
Element x y z (fractional)
O  0.1839  0.8157  0.7799  1 Pu 1.99
O  0.8161  0.1843  0.7799  1 Pu 1.99
O  0.6904  0.6912  0.5000  2 In 2.13, 1 Dy 2.18
O  0.8161  0.1843  0.2201  1 Pu 1.99
O  0.7026  0.7028  0.0000  1 Pu 2.10, 2 In 2.24
O  0.1839  0.8157  0.2201  1 Pu 1.99
O  0.2974  0.2972  0.0000  1 Pu 2.10, 2 In 2.24
O  0.3096  0.3088  0.5000  2 In 2.13, 1 Dy 2.18
Dy  0.0000  0.0000  0.5000  6 O 2.18-2.31
Pu  0.0000  0.0000  0.0000  6 O 1.99-2.10
In  0.5000  0.5000  0.2551  6 O 2.13-2.29
In  0.5000  0.5000  0.7449  6 O 2.13-2.29

Results
Its density is 7391 kg/m3. The value obtained for the electronic total energy is -7.544 eV per atom. The uncorrected formation energy is -2.20 eV per atom.